{"formula": "Hg2OsRh", "functional": "PBE-GGA", "state": "optimized geometry", "cell": [[6.5353, 0.0000, 0.0000], [0.0000, 6.5353, 0.0000], [0.0000, 0.0000, 6.5353]], "species": ["Hg", "Hg", "Hg", "Hg", "Hg", "Hg", "Hg", "Hg", "Os", "Os", "Os", "Os", "Rh", "Rh", "Rh", "Rh"], "fractional_positions": [[0.2500, 0.2500, 0.2500], [0.2500, 0.2500, 0.7500], [0.2500, 0.7500, 0.2500], [0.2500, 0.7500, 0.7500], [0.7500, 0.2500, 0.2500], [0.7500, 0.2500, 0.7500], [0.7500, 0.7500, 0.2500], [0.7500, 0.7500, 0.7500], [0.0000, 0.0000, 0.0000], [0.0000, 0.5000, 0.5000], [0.5000, 0.0000, 0.5000], [0.5000, 0.5000, 0.0000], [0.0000, 0.0000, 0.5000], [0.0000, 0.5000, 0.0000], [0.5000, 0.0000, 0.0000], [0.5000, 0.5000, 0.5000]], "energy_ev_per_atom": -4.00, "vol_a3_per_cell": 279.13, "formation_enthalpy_0k_ev_per_atom": 0.79, "de_polymorph_mev_per_atom": 453.9}